Density functional theory data (PBE) for Ti2Pd6Pt after structural relaxation.

Geometry as POSCAR:
```
Ti2Pd6Pt
1.0
4.446 -1.975 0.000
4.446 1.975 0.000
-2.746 0.000 7.839
Ti Pd Pt
2 6 1
direct
0.165 0.165 0.222
0.835 0.835 0.778
0.166 0.166 0.892
0.168 0.168 0.555
0.499 0.499 0.331
0.501 0.501 0.669
0.832 0.832 0.445
0.834 0.834 0.108
0.500 0.500 0.000
```

## Properties
* volume: 137.64 Å³ per cell
* total energy: -6.456 eV per atom
* space group: No. 12
* formation energy from the elements: -0.57 eV per atom
* distance to the lowest polymorph of the same formula: 0 meV per atom

=====

Density functional theory data (PBE) for Mg6ZrSn after structural relaxation.

Geometry as POSCAR:
```
Mg6ZrSn
1.0
5.011 0.000 0.000
0.000 3.214 5.592
0.000 -3.214 5.592
Mg Zr Sn
6 1 1
direct
0.000 0.000 0.000
0.000 0.502 0.985
0.000 0.985 0.502
0.500 0.336 0.835
0.500 0.835 0.336
0.500 0.838 0.838
0.000 0.491 0.491
0.500 0.335 0.335
```

## Properties
* volume: 180.13 Å³ per cell
* total energy: -2.807 eV per atom
* space group: No. 38
* formation energy from the elements: -0.04 eV per atom
* distance to the lowest polymorph of the same formula: 13 meV per atom

=====

Copy entry 2 word for word.
Density functional theory data (PBE) for Mg6ZrSn after structural relaxation.

Geometry as POSCAR:
```
Mg6ZrSn
1.0
5.011 0.000 0.000
0.000 3.214 5.592
0.000 -3.214 5.592
Mg Zr Sn
6 1 1
direct
0.000 0.000 0.000
0.000 0.502 0.985
0.000 0.985 0.502
0.500 0.336 0.835
0.500 0.835 0.336
0.500 0.838 0.838
0.000 0.491 0.491
0.500 0.335 0.335
```

## Properties
* volume: 180.13 Å³ per cell
* total energy: -2.807 eV per atom
* space group: No. 38
* formation energy from the elements: -0.04 eV per atom
* distance to the lowest polymorph of the same formula: 13 meV per atom

=====

- The lowest total energy belongs to which entry?
  Ti2Pd6Pt

=====

- Which value of volume does entry 2 give?
  180.13 Å³ per cell